# 1
# Tm2LuF

Crystalline Tm2LuF at its relaxed geometry (PBE, Alexandria).

abc: 3.613 3.613 8.521
angles: 77.76 77.76 60.00
Fractional positions:
Lu: 0.500 0.500 0.500
Tm: 0.276 0.276 0.171
Tm: 0.724 0.724 0.829
F: 0.000 0.000 0.000

Results
Its mass density is 9.454 Mg/m³. The uncorrected formation energy is -108.6 kJ/mol of atoms. The calculation puts the calculated total energy at -4.96 eV per atom.


# 2
# Y2LuF

Crystalline Y2LuF at its relaxed geometry (PBE, Alexandria).

abc: 3.667 3.667 8.671
angles: 77.79 77.79 60.00
Fractional positions:
F: 0.000 0.000 0.000
Lu: 0.500 0.500 0.500
Y: 0.276 0.276 0.171
Y: 0.724 0.724 0.829

Results
Its mass density is 6.306 Mg/m³. The uncorrected formation energy is -109.7 kJ/mol of atoms. The calculation puts the calculated total energy at -5.97 eV per atom.


# 3
# LuZr3F15

Crystalline LuZr3F15 at its relaxed geometry (PBE, Alexandria).

abc: 8.148 8.148 8.143
angles: 79.72 79.72 100.15
Fractional positions:
F: 0.818 0.850 0.554
F: 0.722 0.992 0.279
F: 0.222 0.490 0.781
F: 0.542 0.752 0.032
F: 0.778 0.277 0.994
F: 0.778 0.510 0.219
F: 0.850 0.818 0.054
Lu: 0.677 0.323 0.750
F: 0.182 0.150 0.446
F: 0.008 0.278 0.221
Zr: 0.250 0.178 0.174
F: 0.344 0.956 0.182
F: 0.561 0.684 0.347
F: 0.439 0.316 0.653
F: 0.222 0.723 0.006
F: 0.458 0.248 0.968
F: 0.248 0.458 0.468
Zr: 0.178 0.250 0.674
F: 0.150 0.182 0.946
F: 0.656 0.044 0.818
F: 0.278 0.008 0.721
Zr: 0.251 0.749 0.750
F: 0.723 0.222 0.506
F: 0.956 0.344 0.682
F: 0.992 0.722 0.779
Lu: 0.323 0.677 0.250
F: 0.510 0.778 0.719
F: 0.033 0.967 0.250
Zr: 0.750 0.822 0.826
F: 0.044 0.656 0.318
F: 0.490 0.222 0.281
Zr: 0.822 0.750 0.326
F: 0.277 0.778 0.494
F: 0.684 0.561 0.847
Zr: 0.749 0.251 0.250
F: 0.316 0.439 0.153
F: 0.752 0.542 0.532
F: 0.967 0.033 0.750

Results
Its mass density is 4.766 Mg/m³. The uncorrected formation energy is -365.3 kJ/mol of atoms. The calculation puts the calculated total energy at -6.85 eV per atom.


# 4
# Lu2ZrF

Crystalline Lu2ZrF at its relaxed geometry (PBE, Alexandria).

abc: 3.456 3.456 8.437
angles: 78.18 78.18 60.00
Fractional positions:
Lu: 0.732 0.732 0.805
Zr: 0.500 0.500 0.500
F: 0.000 0.000 0.000
Lu: 0.268 0.268 0.195

Results
Its mass density is 9.009 Mg/m³. The uncorrected formation energy is -106.0 kJ/mol of atoms. The calculation puts the calculated total energy at -5.96 eV per atom.